[1]
This record from Alexandria describes a relaxed structure of DyHoO3. The functional is GGA-PBE.

Geometry as POSCAR:
```
DyHoO3
1.0
2.803 1.618 5.456
-2.803 1.618 5.456
0.000 -3.237 5.456
Dy Ho O
2 2 6
Cartesian
0.000 0.000 2.390 Dy
0.000 0.000 13.978 Dy
0.000 0.000 5.779 Ho
0.000 0.000 10.589 Ho
-1.158 -1.608 6.817 O
-0.813 -1.807 9.551 O
-0.813 1.807 6.817 O
-1.158 1.608 9.551 O
1.971 -0.199 6.817 O
1.971 0.199 9.551 O
```

For the raw formation energy, the calculation gives -3.41 eV/atom. The space group is R32 (155).



[2]
This record from Alexandria describes a relaxed structure of YTe2I. The functional is GGA-PBE.

Geometry as POSCAR:
```
YTe2I
1.0
-3.593 3.593 7.681
3.593 -3.593 7.681
3.593 3.593 -7.681
Y Te I
2 4 2
Cartesian
0.000 0.000 0.000 Y
0.000 3.593 3.841 Y
5.389 1.326 -1.920 Te
1.326 1.796 1.920 Te
-1.796 2.266 5.761 Te
2.266 1.796 9.601 Te
3.593 0.000 3.841 I
0.000 0.000 7.681 I
```

For the raw formation energy, the calculation gives -0.34 eV/atom. The space group is I-42d (122). Its energy above the most stable polymorph in this dataset is 495 meV/atom.



[3]
This record from Alexandria describes a relaxed structure of BeAs2Rh. The functional is GGA-PBE.

Geometry as POSCAR:
```
BeAs2Rh
1.0
-2.714 2.714 5.185
2.714 -2.714 5.185
2.714 2.714 -5.185
Be As Rh
2 4 2
Cartesian
0.000 0.000 0.000 Be
0.000 2.714 2.592 Be
4.071 1.235 -1.296 As
1.235 1.357 1.296 As
-1.357 1.479 3.889 As
1.479 1.357 6.481 As
2.714 0.000 2.592 Rh
0.000 0.000 5.185 Rh
```

The space group is I-42d (122).



[4]
This record from Alexandria describes a relaxed structure of AlTlPdF6. The functional is GGA-PBE.

Geometry as POSCAR:
```
AlTlPdF6
1.0
5.489 0.000 0.000
-2.745 4.754 0.000
0.000 0.000 5.945
Al Tl Pd F
1 1 1 6
Cartesian
0.000 0.000 0.000 Al
0.000 3.169 2.972 Tl
2.745 1.585 0.000 Pd
1.512 0.072 1.051 F
0.818 1.274 4.894 F
3.978 0.072 4.894 F
2.051 3.409 1.051 F
4.671 1.274 1.051 F
3.439 3.409 4.894 F
```

For the raw formation energy, the calculation gives -2.36 eV/atom. The space group is P312 (149).



[5]
This record from Alexandria describes a relaxed structure of Nb2HPdRu. The functional is GGA-PBE.

Geometry as POSCAR:
```
Nb2HPdRu
1.0
4.109 0.000 0.000
0.000 4.109 0.000
0.000 0.000 3.966
Nb H Pd Ru
2 1 1 1
Cartesian
0.000 2.054 0.000 Nb
2.054 0.000 0.000 Nb
0.000 0.000 0.000 H
0.000 0.000 1.983 Pd
2.054 2.054 1.983 Ru
```

The space group is P4/mmm (123). Its energy above the most stable polymorph in this dataset is 26 meV/atom.



[6]
This record from Alexandria describes a relaxed structure of AcTb6Sm8. The functional is GGA-PBE.

Geometry as POSCAR:
```
AcTb6Sm8
1.0
4.673 2.698 6.806
-4.673 2.698 6.806
0.000 -5.395 6.806
Ac Tb Sm
1 6 8
Cartesian
0.000 0.000 0.000 Ac
-0.754 -1.936 6.265 Tb
-1.300 1.621 6.265 Tb
-2.054 -0.315 14.153 Tb
2.054 0.315 6.265 Tb
1.300 -1.621 14.153 Tb
0.754 1.936 14.153 Tb
-2.675 -2.181 10.309 Sm
-3.226 1.226 10.108 Sm
0.551 -3.407 10.108 Sm
0.000 0.000 8.742 Sm
0.000 0.000 11.675 Sm
-0.551 3.407 10.309 Sm
3.226 -1.226 10.309 Sm
2.675 2.181 10.108 Sm
```

The space group is R-3 (148). Its energy above the most stable polymorph in this dataset is 0 meV/atom.



[7]
This record from Alexandria describes a relaxed structure of Ba2InI. The functional is GGA-PBE.

Geometry as POSCAR:
```
Ba2InI
1.0
2.343 1.353 9.735
-2.343 1.353 9.735
0.000 -2.706 9.735
Ba In I
2 1 1
Cartesian
0.000 0.000 0.000 Ba
0.000 0.000 5.144 Ba
0.000 0.000 17.182 In
0.000 0.000 12.289 I
```

For the raw formation energy, the calculation gives -0.82 eV/atom. The space group is R3m (160). Its energy above the most stable polymorph in this dataset is 54 meV/atom.



[8]
This record from Alexandria describes a relaxed structure of AlTl3Pd. The functional is GGA-PBE.

Geometry as POSCAR:
```
AlTl3Pd
1.0
5.286 0.000 0.000
0.000 5.286 0.000
0.000 0.000 5.286
Al Tl Pd
1 3 1
Cartesian
0.000 0.000 0.000 Al
0.000 0.000 2.643 Tl
0.000 2.643 0.000 Tl
2.643 0.000 0.000 Tl
2.643 2.643 2.643 Pd
```

The space group is Pm-3m (221). Its energy above the most stable polymorph in this dataset is 282 meV/atom.



Total energy / eV/atom: -8.22, -3.92, -5.11, -4.86, -7.79, -4.48, -2.86, -2.65